Here is Li3MnTc after structural relaxation from the Alexandria database. Energies are from GGA-PBE.

Cell: 4.4475 4.4475 4.4475 Å, 90.00 90.00 90.00°
Element x y z (fractional)
Li 0.0000 0.0000 0.5000
Li 0.0000 0.5000 0.0000
Li 0.5000 0.0000 0.0000
Mn 0.0000 0.0000 0.0000
Tc 0.5000 0.5000 0.5000

Summary:
**Energy of formation from the pure elements**: 1.329 eV per atom